Below is a geometry-optimized Li2PuMnO8 structure, with properties calculated at the PBE with a Hubbard U level.

```
Li2PuMnO8
1.0
4.4287 0.0000 0.0000
-2.2143 3.8354 0.0000
0.0000 0.0000 8.7544
Li Pu Mn O
2 1 1 8
direct
0.6667 0.3333 0.2348
0.3333 0.6667 0.7652
0.0000 0.0000 0.5000
0.0000 0.0000 0.0000
0.3333 0.6667 0.9822
0.3150 0.3390 0.3581
0.6610 0.9760 0.3581
0.6667 0.3333 0.0178
0.3390 0.0240 0.6419
0.6850 0.6610 0.6419
0.9760 0.3150 0.6419
0.0240 0.6850 0.3581
```

Properties
- total energy (eV/cell) = -76.8
- Fermi-level density of states (states/eV/f.u.) = 10.157
- magnetic moment (Bohr magnetons per cell) = 2.41
- space-group type = P-3 (147)